1.
DFT (PBE) results for Pr7Ho after structural relaxation.

Values from the calculation:
Final energy (eV per atom): -4.7467
Mass density (Mg/m³): 6.7

abc: 7.380 7.380 7.380
angles: 60.00 60.00 60.00
Element x y z (fractional)
Pr: 0.500 0.500 0.500
Pr: 0.500 0.000 0.500
Pr: 0.000 0.500 0.500
Pr: 0.000 0.000 0.500
Pr: 0.500 0.000 0.000
Pr: 0.000 0.500 0.000
Pr: 0.500 0.500 0.000
Ho: 0.000 0.000 0.000

2.
DFT (PBE) results for Pr4Ho3 after structural relaxation.

Values from the calculation:
Final energy (eV per atom): -4.5877
Mass density (Mg/m³): 7.4

abc: 5.984 9.225 5.673
angles: 112.32 121.83 90.00
Element x y z (fractional)
Pr: 0.714 0.139 0.427
Pr: 0.862 0.582 0.724
Pr: 0.138 0.418 0.276
Pr: 0.286 0.861 0.573
Ho: 0.433 0.289 0.866
Ho: 0.000 0.000 0.000
Ho: 0.567 0.711 0.134

3.
DFT (PBE) results for Pr2Ho after structural relaxation.

Values from the calculation:
Final energy (eV per atom): -4.4414
Mass density (Mg/m³): 6.9

abc: 6.717 6.717 6.717
angles: 60.00 60.00 60.00
Element x y z (fractional)
Pr: 0.625 0.125 0.625
Pr: 0.625 0.625 0.125
Pr: 0.625 0.625 0.625
Pr: 0.125 0.625 0.625
Ho: 0.250 0.250 0.250
Ho: 0.000 0.000 0.000

4.
DFT (PBE) results for Pr3Ho7 after structural relaxation.

Values from the calculation:
Final energy (eV per atom): -4.4603
Mass density (Mg/m³): 8.0

abc: 6.514 10.796 10.796
angles: 120.00 90.00 90.00
Element x y z (fractional)
Ho: 0.210 0.471 0.529
Ho: 0.520 0.333 0.667
Ho: 0.886 0.242 0.121
Ho: 0.886 0.879 0.121
Ho: 0.210 0.471 0.942
Ho: 0.386 0.758 0.879
Ho: 0.386 0.121 0.242
Ho: 0.386 0.121 0.879
Ho: 0.210 0.058 0.529
Ho: 0.886 0.879 0.758
Ho: 0.020 0.667 0.333
Ho: 0.710 0.942 0.471
Ho: 0.710 0.529 0.058
Ho: 0.710 0.529 0.471
Pr: 0.367 0.405 0.203
Pr: 0.367 0.797 0.203
Pr: 0.367 0.797 0.595
Pr: 0.867 0.595 0.797
Pr: 0.867 0.203 0.797
Pr: 0.867 0.203 0.405

5.
DFT (PBE) results for Pr13Ho3 after structural relaxation.

Values from the calculation:
Final energy (eV per atom): -4.7283
Mass density (Mg/m³): 6.9

abc: 7.348 7.348 10.417
angles: 90.00 90.00 90.08
Element x y z (fractional)
Pr: 0.247 0.248 0.000
Pr: 0.247 0.753 0.500
Pr: 0.247 0.247 0.500
Pr: 0.999 0.499 0.248
Pr: 0.501 0.001 0.248
Pr: 0.501 0.498 0.249
Pr: 0.501 0.498 0.751
Pr: 0.501 0.001 0.752
Pr: 0.752 0.753 0.000
Pr: 0.753 0.753 0.500
Pr: 0.753 0.247 0.500
Pr: 0.247 0.753 0.000
Pr: 0.999 0.499 0.752
Ho: 0.753 0.247 0.000
Ho: 0.998 0.002 0.248
Ho: 0.998 0.002 0.752

6.
DFT (PBE) results for Pr6Ho7 after structural relaxation.

Values from the calculation:
Final energy (eV per atom): -4.4181
Mass density (Mg/m³): 7.3

abc: 6.702 6.702 12.267
angles: 74.15 74.15 60.00
Last column: magnetic moment on the atom in μB.
Element x y z (fractional)
Ho: 0.088 0.088 0.240  0.27
Ho: 0.912 0.415 0.760  0.27
Ho: 0.912 0.912 0.760  0.27
Ho: 0.088 0.585 0.240  0.27
Ho: 0.585 0.088 0.240  0.27
Ho: 0.415 0.912 0.760  0.27
Ho: 0.000 0.000 0.000  0.44
Pr: 0.653 0.653 0.042  0.39
Pr: 0.549 0.549 0.352  0.32
Pr: 0.451 0.451 0.648  0.32
Pr: 0.347 0.347 0.958  0.39
Pr: 0.833 0.833 0.500  0.21
Pr: 0.167 0.167 0.500  0.21

7.
DFT (PBE) results for PrHo4 after structural relaxation.

Values from the calculation:
Final energy (eV per atom): -4.5973
Mass density (Mg/m³): 8.4

abc: 3.563 3.563 14.621
angles: 83.09 83.09 60.02
Element x y z (fractional)
Ho: 0.599 0.599 0.205
Ho: 0.199 0.199 0.401
Ho: 0.401 0.401 0.795
Ho: 0.801 0.801 0.599
Pr: 0.000 0.000 0.000

8.
DFT (PBE) results for PrHo2 after structural relaxation.

Values from the calculation:
Final energy (eV per atom): -4.3627
Mass density (Mg/m³): 7.5

abc: 6.659 6.659 6.659
angles: 60.00 60.00 60.00
Last column: magnetic moment on the atom in μB.
Element x y z (fractional)
Pr: 0.000 0.000 0.000  0.41
Pr: 0.250 0.250 0.250  0.41
Ho: 0.625 0.625 0.125  0.30
Ho: 0.125 0.625 0.625  0.30
Ho: 0.625 0.625 0.625  0.30
Ho: 0.625 0.125 0.625  0.30